## i
A geometry-optimized Na3AcPb3 structure, computed with PBE.

## Properties
crystal system	cubic
space-group type	Pm-3n
magnetic moment	0.00	μB/f.u.

Cell lengths 8.101, 8.101, 8.101 Å; angles 90.00, 90.00, 90.00 degrees
Fractional positions:
Pb  0.250  0.000  0.500
Pb  0.000  0.500  0.250
Pb  0.500  0.750  0.000
Pb  0.750  0.000  0.500
Pb  0.000  0.500  0.750
Pb  0.500  0.250  0.000
Na  0.000  0.250  0.500
Na  0.000  0.750  0.500
Na  0.500  0.000  0.750
Na  0.750  0.500  0.000
Na  0.500  0.000  0.250
Na  0.250  0.500  0.000
Ac  0.500  0.500  0.500
Ac  0.000  0.000  0.000

=====

## ii
A geometry-optimized Na3AcPb3 structure, computed with PBE.

## Properties
crystal system	hexagonal
space-group type	P6_3/m
magnetic moment	0.00	μB/f.u.

Cell lengths 4.851, 10.640, 10.640 Å; angles 120.00, 90.00, 90.00 degrees
Fractional positions:
Na  0.750  0.956  0.733
Na  0.750  0.777  0.044
Na  0.250  0.733  0.777
Na  0.750  0.267  0.223
Na  0.250  0.223  0.956
Na  0.250  0.044  0.267
Ac  0.250  0.667  0.333
Ac  0.750  0.333  0.667
Pb  0.750  0.606  0.544
Pb  0.750  0.939  0.394
Pb  0.250  0.544  0.939
Pb  0.750  0.456  0.061
Pb  0.250  0.061  0.606
Pb  0.250  0.394  0.456

=====

List of relative energies, unit eV/atom: i 0.620; ii 0.000